# Tb8YHo3

Crystalline Tb8YHo3 at its relaxed geometry (PBE-GGA, Alexandria via LeMat-Bulk).

Energy in Ry/atom: -0.2969
Energy of formation from the pure elements in meV per atom: 731
Space group: I4/mmm, No. 139

a = 7.687 Å, b = 7.687 Å, c = 9.418 Å
α = 114.09°, β = 114.09°, γ = 90.00°
Positions (direct):
Y 0.000 0.000 0.000
Tb 0.125 0.623 0.748
Ho 0.750 0.250 0.500
Tb 0.875 0.377 0.252
Tb 0.377 0.875 0.252
Ho 0.500 0.500 0.000
Ho 0.250 0.750 0.500
Tb 0.377 0.377 0.252
Tb 0.623 0.125 0.748
Tb 0.875 0.875 0.252
Tb 0.125 0.125 0.748
Tb 0.623 0.623 0.748

# TbY5Ho

Crystalline TbY5Ho at its relaxed geometry (PBE-GGA, Alexandria via LeMat-Bulk).

Offset from the most stable computed form in meV/atom: 0
Energy in Ry/atom: -0.4229
Energy of formation from the pure elements in meV per atom: 179
Space group: C2/c, No. 15

a = 6.099 Å, b = 9.251 Å, c = 8.859 Å
α = 86.03°, β = 77.88°, γ = 70.75°
Positions (direct):
Tb 0.513 0.975 0.750
Y 0.767 0.691 0.037
Y 0.857 0.286 0.750
Y 0.611 0.375 0.146
Y 0.542 0.691 0.463
Y 0.458 0.309 0.537
Y 0.015 0.375 0.354
Tb 0.487 0.025 0.250
Ho 0.000 0.000 0.500
Y 0.233 0.309 0.963
Y 0.985 0.625 0.646
Y 0.389 0.625 0.854
Y 0.143 0.714 0.250
Ho 0.000 0.000 0.000

# Tb8Y2Ho

Crystalline Tb8Y2Ho at its relaxed geometry (PBE-GGA, Alexandria via LeMat-Bulk).

Offset from the most stable computed form in meV/atom: 0
Energy in Ry/atom: -0.3532
Energy of formation from the pure elements in meV per atom: 153
Space group: C2/m, No. 12

a = 5.905 Å, b = 9.054 Å, c = 9.382 Å
α = 61.15°, β = 73.76°, γ = 54.59°
Positions (direct):
Tb 0.811 0.339 0.759
Tb 0.500 0.796 0.408
Tb 0.292 0.436 0.000
Tb 0.189 0.902 0.759
Y 0.000 0.310 0.380
Tb 0.189 0.661 0.241
Ho 0.500 0.000 0.000
Tb 0.811 0.098 0.241
Y 0.000 0.690 0.620
Tb 0.708 0.564 0.000
Tb 0.500 0.204 0.592

# Tb14YHo

Crystalline Tb14YHo at its relaxed geometry (PBE-GGA, Alexandria via LeMat-Bulk).

Energy in Ry/atom: -0.3486
Energy of formation from the pure elements in meV per atom: -1
Space group: Amm2, No. 38

a = 7.146 Å, b = 7.146 Å, c = 11.505 Å
α = 90.00°, β = 90.00°, γ = 119.98°
Positions (direct):
Tb 0.208 0.291 0.500
Tb 0.375 0.625 0.251
Tb 0.875 0.626 0.250
Ho 0.208 0.792 0.500
Tb 0.875 0.125 0.750
Tb 0.875 0.125 0.250
Tb 0.542 0.458 0.000
Tb 0.875 0.626 0.750
Tb 0.709 0.792 0.500
Tb 0.042 0.958 0.000
Tb 0.374 0.125 0.750
Tb 0.374 0.125 0.250
Y 0.708 0.292 0.500
Tb 0.542 0.958 0.000
Tb 0.375 0.625 0.749
Tb 0.042 0.458 0.000

# Tb2Y3Ho6

Crystalline Tb2Y3Ho6 at its relaxed geometry (PBE-GGA, Alexandria via LeMat-Bulk).

Offset from the most stable computed form in meV/atom: 255
Energy in Ry/atom: -0.3547
Energy of formation from the pure elements in meV per atom: 276
Space group: I4/mmm, No. 139

a = 4.716 Å, b = 4.716 Å, c = 16.836 Å
α = 98.05°, β = 98.05°, γ = 90.00°
Positions (direct):
Ho 0.307 0.307 0.613
Ho 0.121 0.621 0.241
Y 0.202 0.202 0.404
Ho 0.379 0.879 0.759
Y 0.798 0.798 0.596
Ho 0.879 0.379 0.759
Ho 0.621 0.121 0.241
Y 0.000 0.000 0.000
Ho 0.693 0.693 0.387
Tb 0.454 0.454 0.908
Tb 0.546 0.546 0.092

# TbY10Ho4

Crystalline TbY10Ho4 at its relaxed geometry (PBE-GGA, Alexandria via LeMat-Bulk).

Energy in Ry/atom: -0.3753
Energy of formation from the pure elements in meV per atom: 733
Space group: I4/m, No. 87

a = 7.684 Å, b = 9.415 Å, c = 9.415 Å
α = 80.41°, β = 65.92°, γ = 65.92°
Positions (direct):
Ho 0.400 0.800 0.400
Y 0.250 0.500 0.500
Y 0.849 0.700 0.101
Y 0.650 0.300 0.899
Ho 0.800 0.600 0.800
Y 0.950 0.899 0.700
Y 0.750 0.500 0.500
Tb 0.000 0.000 0.000
Y 0.151 0.300 0.899
Ho 0.600 0.200 0.600
Y 0.549 0.101 0.300
Y 0.350 0.700 0.101
Y 0.050 0.101 0.300
Ho 0.200 0.400 0.200
Y 0.451 0.899 0.700

# Tb12Y2Ho5

Crystalline Tb12Y2Ho5 at its relaxed geometry (PBE-GGA, Alexandria via LeMat-Bulk).

Offset from the most stable computed form in meV/atom: 114
Energy in Ry/atom: -0.3439
Energy of formation from the pure elements in meV per atom: 131
Space group: C2/m, No. 12

a = 9.177 Å, b = 9.128 Å, c = 8.538 Å
α = 90.85°, β = 90.00°, γ = 120.18°
Positions (direct):
Ho 0.699 0.397 0.013
Tb 0.091 0.183 0.885
Y 0.678 0.000 0.000
Tb 0.663 0.690 0.757
Tb 0.337 0.310 0.243
Tb 0.441 0.881 0.663
Ho 0.232 0.463 0.572
Ho 0.301 0.603 0.987
Tb 0.909 0.817 0.115
Tb 0.433 0.253 0.664
Tb 0.027 0.690 0.757
Ho 0.000 0.000 0.500
Tb 0.180 0.747 0.336
Y 0.322 0.000 0.000
Tb 0.820 0.253 0.664
Tb 0.973 0.310 0.243
Ho 0.768 0.537 0.428
Tb 0.567 0.747 0.336
Tb 0.559 0.119 0.337

# Tb4Y5Ho4

Crystalline Tb4Y5Ho4 at its relaxed geometry (PBE-GGA, Alexandria via LeMat-Bulk).

Energy in Ry/atom: -0.3895
Energy of formation from the pure elements in meV per atom: 20
Space group: I4/m, No. 87

a = 5.015 Å, b = 9.405 Å, c = 9.405 Å
α = 85.92°, β = 74.54°, γ = 74.54°
Positions (direct):
Ho 0.846 0.923 0.386
Ho 0.231 0.614 0.923
Y 0.461 0.231 0.846
Tb 0.384 0.692 0.539
Tb 0.077 0.539 0.308
Ho 0.154 0.077 0.614
Tb 0.923 0.461 0.692
Ho 0.769 0.386 0.077
Y 0.000 0.000 0.000
Y 0.693 0.846 0.769
Y 0.307 0.154 0.231
Tb 0.616 0.308 0.461
Y 0.539 0.769 0.154

# Tb5YHo5

Crystalline Tb5YHo5 at its relaxed geometry (PBE-GGA, Alexandria via LeMat-Bulk).

Offset from the most stable computed form in meV/atom: 171
Energy in Ry/atom: -0.3274
Energy of formation from the pure elements in meV per atom: 319
Space group: P-6m2, No. 187

a = 6.047 Å, b = 6.047 Å, c = 11.553 Å
α = 90.00°, β = 90.00°, γ = 120.00°
Positions (direct):
Ho 0.832 0.665 0.500
Y 0.333 0.667 0.000
Ho 0.000 0.000 0.735
Ho 0.335 0.168 0.500
Tb 0.000 0.000 0.000
Tb 0.667 0.333 0.844
Tb 0.667 0.333 0.156
Ho 0.000 0.000 0.265
Ho 0.832 0.168 0.500
Tb 0.333 0.667 0.318
Tb 0.333 0.667 0.682

# Tb7Y3Ho2

Crystalline Tb7Y3Ho2 at its relaxed geometry (PBE-GGA, Alexandria via LeMat-Bulk).

Offset from the most stable computed form in meV/atom: 190
Energy in Ry/atom: -0.3532
Energy of formation from the pure elements in meV per atom: 275
Space group: R-3m, No. 166

a = 6.515 Å, b = 6.515 Å, c = 11.660 Å
α = 73.78°, β = 73.78°, γ = 60.00°
Positions (direct):
Tb 0.413 0.920 0.254
Tb 0.413 0.413 0.254
Tb 0.500 0.500 0.500
Ho 0.334 0.334 0.999
Y 0.849 0.849 0.453
Tb 0.080 0.587 0.746
Tb 0.920 0.413 0.254
Y 0.151 0.151 0.547
Tb 0.587 0.587 0.746
Tb 0.587 0.080 0.746
Y 0.000 0.000 0.000
Ho 0.666 0.666 0.001

# TbY4Ho15

Crystalline TbY4Ho15 at its relaxed geometry (PBE-GGA, Alexandria via LeMat-Bulk).

Energy in Ry/atom: -0.3628
Energy of formation from the pure elements in meV per atom: 22
Space group: P4/mmm, No. 123

a = 5.001 Å, b = 5.001 Å, c = 25.001 Å
α = 90.00°, β = 90.00°, γ = 90.00°
Positions (direct):
Ho 0.500 0.500 0.600
Y 0.000 0.000 0.600
Ho 0.500 0.500 0.200
Ho 0.000 0.500 0.300
Y 0.000 0.000 0.800
Ho 0.500 0.000 0.700
Ho 0.500 0.500 0.400
Ho 0.500 0.000 0.500
Ho 0.500 0.500 0.000
Ho 0.000 0.500 0.500
Tb 0.000 0.000 0.000
Ho 0.500 0.500 0.800
Y 0.000 0.000 0.400
Ho 0.000 0.500 0.700
Ho 0.000 0.500 0.100
Y 0.000 0.000 0.200
Ho 0.500 0.000 0.900
Ho 0.500 0.000 0.100
Ho 0.000 0.500 0.900
Ho 0.500 0.000 0.300

# Tb5Y4Ho4

Crystalline Tb5Y4Ho4 at its relaxed geometry (PBE-GGA, Alexandria via LeMat-Bulk).

Energy in Ry/atom: -0.3792
Energy of formation from the pure elements in meV per atom: 19
Space group: I4/m, No. 87

a = 5.013 Å, b = 9.406 Å, c = 9.406 Å
α = 85.93°, β = 74.55°, γ = 74.55°
Positions (direct):
Ho 0.846 0.923 0.385
Ho 0.231 0.615 0.923
Y 0.384 0.694 0.538
Ho 0.769 0.385 0.077
Y 0.078 0.538 0.306
Tb 0.000 0.000 0.000
Tb 0.539 0.769 0.152
Ho 0.154 0.077 0.615
Y 0.922 0.462 0.694
Y 0.616 0.306 0.462
Tb 0.308 0.152 0.231
Tb 0.692 0.848 0.769
Tb 0.461 0.231 0.848

# TbY15Ho4

Crystalline TbY15Ho4 at its relaxed geometry (PBE-GGA, Alexandria via LeMat-Bulk).

Energy in Ry/atom: -0.4389
Energy of formation from the pure elements in meV per atom: 24
Space group: P4/mmm, No. 123

a = 5.036 Å, b = 5.036 Å, c = 25.191 Å
α = 90.00°, β = 90.00°, γ = 90.00°
Positions (direct):
Y 0.500 0.500 0.400
Y 0.000 0.500 0.100
Ho 0.000 0.000 0.800
Y 0.000 0.500 0.900
Y 0.000 0.500 0.300
Y 0.500 0.000 0.700
Y 0.500 0.500 0.000
Y 0.500 0.500 0.600
Ho 0.000 0.000 0.200
Y 0.500 0.000 0.900
Tb 0.000 0.000 0.000
Ho 0.000 0.000 0.400
Y 0.500 0.000 0.500
Y 0.000 0.500 0.700
Ho 0.000 0.000 0.600
Y 0.500 0.500 0.800
Y 0.500 0.000 0.100
Y 0.500 0.500 0.200
Y 0.500 0.000 0.300
Y 0.000 0.500 0.500

# Tb2Y3Ho8

Crystalline Tb2Y3Ho8 at its relaxed geometry (PBE-GGA, Alexandria via LeMat-Bulk).

Offset from the most stable computed form in meV/atom: 0
Energy in Ry/atom: -0.3523
Energy of formation from the pure elements in meV per atom: 227
Space group: C2/m, No. 12

a = 6.808 Å, b = 9.433 Å, c = 9.433 Å
α = 57.96°, β = 61.91°, γ = 61.91°
Positions (direct):
Ho 0.064 0.582 0.582
Ho 0.990 0.809 0.809
Y 0.500 0.000 0.000
Ho 0.440 0.800 0.437
Ho 0.936 0.418 0.418
Ho 0.440 0.437 0.800
Ho 0.560 0.200 0.563
Ho 0.010 0.191 0.191
Tb 0.491 0.215 0.215
Y 0.000 0.826 0.174
Y 0.000 0.174 0.826
Ho 0.560 0.563 0.200
Tb 0.509 0.785 0.785

# Tb3Y2Ho5

Crystalline Tb3Y2Ho5 at its relaxed geometry (PBE-GGA, Alexandria via LeMat-Bulk).

Offset from the most stable computed form in meV/atom: 72
Energy in Ry/atom: -0.3451
Energy of formation from the pure elements in meV per atom: 276
Space group: Ibam, No. 72

a = 6.648 Å, b = 10.938 Å, c = 10.938 Å
α = 61.79°, β = 72.31°, γ = 72.31°
Positions (direct):
Ho 0.669 0.237 0.424
Ho 0.068 0.182 0.182
Ho 0.250 0.500 0.500
Ho 0.750 0.500 0.500
Y 0.029 0.736 0.206
Tb 0.672 0.540 0.115
Ho 0.831 0.576 0.763
Y 0.971 0.264 0.794
Tb 0.172 0.115 0.540
Ho 0.568 0.182 0.182
Ho 0.432 0.818 0.818
Tb 0.750 0.000 0.000
Y 0.471 0.794 0.264
Ho 0.169 0.424 0.237
Tb 0.328 0.460 0.885
Ho 0.331 0.763 0.576
Y 0.529 0.206 0.736
Ho 0.932 0.818 0.818
Tb 0.828 0.885 0.460
Tb 0.250 0.000 0.000

# Tb3YHo2

Crystalline Tb3YHo2 at its relaxed geometry (PBE-GGA, Alexandria via LeMat-Bulk).

Offset from the most stable computed form in meV/atom: 7
Energy in Ry/atom: -0.3610
Energy of formation from the pure elements in meV per atom: 7
Space group: C2/m, No. 12

a = 3.636 Å, b = 11.253 Å, c = 11.133 Å
α = 120.36°, β = 99.40°, γ = 90.00°
Positions (direct):
Ho 0.056 0.181 0.112
Ho 0.722 0.347 0.444
Tb 0.722 0.847 0.444
Tb 0.612 0.486 0.223
Ho 0.278 0.653 0.556
Tb 0.945 0.320 0.890
Ho 0.944 0.819 0.888
Tb 0.055 0.680 0.110
Y 0.390 0.013 0.779
Tb 0.278 0.153 0.556
Y 0.610 0.987 0.221
Tb 0.388 0.514 0.777

# Tb2YHo12

Crystalline Tb2YHo12 at its relaxed geometry (PBE-GGA, Alexandria via LeMat-Bulk).

Energy in Ry/atom: -0.3376
Energy of formation from the pure elements in meV per atom: 117
Space group: P2/m, No. 10

a = 6.588 Å, b = 6.588 Å, c = 24.760 Å
α = 83.37°, β = 83.37°, γ = 115.00°
Positions (direct):
Ho 0.320 0.820 0.574
Ho 0.904 0.904 0.799
Ho 0.596 0.596 0.201
Ho 0.942 0.942 0.074
Tb 0.956 0.456 0.728
Ho 0.166 0.166 0.445
Ho 0.834 0.834 0.555
Ho 0.105 0.605 0.863
Tb 0.544 0.044 0.272
Ho 0.558 0.558 0.926
Ho 0.395 0.895 0.137
Ho 0.501 0.501 0.330
Ho 0.001 0.001 0.330
Tb 0.456 0.956 0.728
Y 0.500 0.000 0.000
Ho 0.605 0.105 0.863
Tb 0.044 0.544 0.272
Ho 0.180 0.680 0.426
Ho 0.680 0.180 0.426
Y 0.000 0.500 0.000
Ho 0.096 0.096 0.201
Ho 0.334 0.334 0.555
Ho 0.499 0.499 0.670
Ho 0.404 0.404 0.799
Ho 0.895 0.395 0.137
Ho 0.999 0.999 0.670
Ho 0.442 0.442 0.074
Ho 0.058 0.058 0.926
Ho 0.820 0.320 0.574
Ho 0.666 0.666 0.445

# Tb3Y6Ho2

Crystalline Tb3Y6Ho2 at its relaxed geometry (PBE-GGA, Alexandria via LeMat-Bulk).

Offset from the most stable computed form in meV/atom: 0
Energy in Ry/atom: -0.4115
Energy of formation from the pure elements in meV per atom: 22
Space group: R-3m, No. 166

a = 3.562 Å, b = 3.562 Å, c = 31.965 Å
α = 86.81°, β = 86.81°, γ = 60.00°
Positions (direct):
Y 0.182 0.182 0.454
Y 0.091 0.091 0.727
Tb 0.273 0.273 0.182
Y 0.364 0.364 0.909
Tb 0.727 0.727 0.818
Y 0.818 0.818 0.546
Tb 0.000 0.000 0.000
Ho 0.545 0.545 0.364
Ho 0.455 0.455 0.636
Y 0.636 0.636 0.091
Y 0.909 0.909 0.273